VASP calculation (PBE-GGA) on a geometry-optimized Sc2InCl structure.

The calculation puts the formation energy from raw total energies at -1.6 eV per formula unit. As for the crystal system: trigonal. For the size of the total moment, the calculation gives 0.00 μB/cell. For the total energy, the calculation gives -4.721 eV per atom.

The space group is R-3m (No. 166, hexagonal axes) and the conventional cell measures 3.2952, 3.2952 and 30.1400 Å, with angles of 90.00, 90.00 and 120.00 degrees. The distinct sites, in fractional coordinates, are Sc at (0.0000, 0.0000, 0.0990), In at (0.0000, 0.0000, 0.0000) and Cl at (0.0000, 0.0000, 0.5000).